The following is a SCAN calculation of BPbSe3 at its PBEsol-relaxed geometry, from the Alexandria database.

It has space group Pm-3m (No. 221), with a = 5.356 Å, b = 5.356 Å, c = 5.356 Å, α = 90.00°, β = 90.00° and γ = 90.00°. Symmetry generates all atoms from B at (0.000, 0.000, 0.000), Pb at (0.500, 0.500, 0.500) and Se at (0.000, 0.500, 0.500).

For the spin magnetization, the calculation gives 0.00 Bohr magnetons per cell. The electronic total energy is -136.10 eV per cell. Its calculated volume is 30.74 Å³/atom. As for the uncorrected formation energy: 141.73 kJ per mole of atoms.